This record from Alexandria via LeMat-Bulk describes MoPb2BrO4 after structural relaxation. The functional is PBE with a Hubbard U.

Values from the calculation:
Total magnetization, μB per cell: 1.00
Calculated total energy, eV for the cell shown: -45.79
Space group: C2/m (12)

Cell lengths 3.397, 5.450, 9.358 Å; angles 82.93, 79.54, 71.84 degrees
Each line ends with the local moment (μB).
Element x y z (fractional)
Mo 0.000 0.000 0.000  1.04
Pb 0.823 0.574 0.780  -0.01
Pb 0.177 0.426 0.220  -0.01
Br 0.500 0.500 0.500  -0.01
O 0.150 0.894 0.806  -0.04
O 0.398 0.245 0.959  0.02
O 0.850 0.106 0.194  -0.04
O 0.602 0.755 0.041  0.02